one:
Here is an optimized crystal structure of MgGaTeN2 from the Alexandria database. Energies are from PBE-GGA.

Cell lengths 4.179, 4.179, 6.107 Å; angles 90.00, 90.00, 90.00 degrees
Site moments in Bohr magnetons follow the coordinates.
Element x y z (fractional)
Ga  0.500  0.500  0.500  -0.03
N  0.000  0.500  0.000  1.27
Te  0.000  0.000  0.500  0.09
N  0.500  0.000  0.000  1.27
Mg  0.000  0.000  0.000  -0.02

## Properties
* total magnetic moment: 3.95 μB/f.u.

two:
Here is an optimized crystal structure of MgGaTeN2 from the Alexandria database. Energies are from PBE-GGA.

Cell lengths 4.004, 4.004, 5.955 Å; angles 90.00, 90.00, 90.00 degrees
Site moments in Bohr magnetons follow the coordinates.
Element x y z (fractional)
N  0.500  0.000  0.000  0.96
Ga  0.000  0.000  0.000  -0.04
Mg  0.500  0.500  0.500  -0.01
N  0.000  0.500  0.000  0.96
Te  0.000  0.000  0.500  0.13

## Properties
* total magnetic moment: 2.91 μB/f.u.

On energetic grounds, two is preferred over the next structure by 225 meV per atom.

one:
Here is an optimized crystal structure of NaMg2Ga2 from the Alexandria database. Energies are from PBE-GGA.

Cell lengths 8.492, 8.492, 2.991 Å; angles 90.00, 90.00, 90.00 degrees
Element x y z (fractional)
Na  0.500  0.500  0.000
Ga  0.834  0.334  0.500
Ga  0.666  0.834  0.500
Mg  0.370  0.870  0.000
Mg  0.130  0.370  0.000
Ga  0.334  0.166  0.500
Ga  0.166  0.666  0.500
Mg  0.630  0.130  0.000
Mg  0.870  0.630  0.000
Na  0.000  0.000  0.000

## Properties
* total magnetic moment: 0.00 μB/f.u.

two:
Here is an optimized crystal structure of NaMg2Ga2 from the Alexandria database. Energies are from PBE-GGA.

Cell lengths 4.374, 4.374, 6.859 Å; angles 71.41, 71.41, 90.00 degrees
Element x y z (fractional)
Mg  0.250  0.750  0.500
Na  0.000  0.000  0.000
Ga  0.398  0.398  0.204
Ga  0.602  0.602  0.796
Mg  0.750  0.250  0.500

## Properties
* total magnetic moment: 0.00 μB/f.u.

three:
Here is an optimized crystal structure of NaMg2Ga2 from the Alexandria database. Energies are from PBE-GGA.

Cell lengths 4.199, 4.994, 11.575 Å; angles 97.97, 90.00, 90.00 degrees
Element x y z (fractional)
Mg  0.750  0.155  0.110
Na  0.250  0.694  0.248
Mg  0.250  0.845  0.890
Ga  0.250  0.797  0.650
Mg  0.250  0.254  0.516
Ga  0.250  0.365  0.985
Na  0.750  0.306  0.752
Ga  0.750  0.635  0.015
Ga  0.750  0.203  0.350
Mg  0.750  0.746  0.484

## Properties
* total magnetic moment: 0.00 μB/f.u.

On energetic grounds, one is preferred over the next structure by 42 meV per atom.

one:
Here is an optimized crystal structure of NaMgGa3 from the Alexandria database. Energies are from PBE-GGA.

Cell lengths 4.441, 3.539, 13.115 Å; angles 97.75, 90.00, 90.00 degrees
Element x y z (fractional)
Mg  0.250  0.786  0.571
Ga  0.750  0.321  0.643
Na  0.750  0.924  0.847
Ga  0.750  0.524  0.049
Ga  0.250  0.376  0.751
Ga  0.250  0.476  0.951
Mg  0.750  0.214  0.429
Ga  0.750  0.624  0.249
Ga  0.250  0.679  0.357
Na  0.250  0.076  0.153

## Properties
* total magnetic moment: 0.00 μB/f.u.

two:
Here is an optimized crystal structure of NaMgGa3 from the Alexandria database. Energies are from PBE-GGA.

Cell lengths 5.180, 5.180, 5.180 Å; angles 90.00, 90.00, 90.00 degrees
Element x y z (fractional)
Ga  0.500  0.000  0.000
Na  0.500  0.500  0.500
Mg  0.000  0.000  0.000
Ga  0.000  0.000  0.500
Ga  0.000  0.500  0.000

## Properties
* total magnetic moment: 0.00 μB/f.u.

On energetic grounds, one is preferred over the next structure by 405 meV per atom.

one:
Here is an optimized crystal structure of Na2MgGa2 from the Alexandria database. Energies are from PBE-GGA.

Cell lengths 8.774, 8.774, 3.093 Å; angles 90.00, 90.00, 90.00 degrees
Element x y z (fractional)
Na  0.625  0.125  0.000
Mg  0.500  0.500  0.000
Mg  0.000  0.000  0.000
Na  0.125  0.375  0.000
Ga  0.326  0.174  0.500
Ga  0.826  0.326  0.500
Na  0.875  0.625  0.000
Ga  0.674  0.826  0.500
Ga  0.174  0.674  0.500
Na  0.375  0.875  0.000

## Properties
* total magnetic moment: 0.00 μB/f.u.

two:
Here is an optimized crystal structure of Na2MgGa2 from the Alexandria database. Energies are from PBE-GGA.

Cell lengths 7.728, 7.728, 4.014 Å; angles 90.00, 90.00, 90.00 degrees
Element x y z (fractional)
Mg  0.500  0.500  0.000
Ga  0.623  0.123  0.000
Mg  0.000  0.000  0.000
Ga  0.877  0.623  0.000
Ga  0.123  0.377  0.000
Na  0.174  0.674  0.500
Na  0.326  0.174  0.500
Ga  0.377  0.877  0.000
Na  0.674  0.826  0.500
Na  0.826  0.326  0.500

## Properties
* total magnetic moment: 0.00 μB/f.u.

three:
Here is an optimized crystal structure of Na2MgGa2 from the Alexandria database. Energies are from PBE-GGA.

Cell lengths 3.702, 3.702, 10.470 Å; angles 79.82, 79.82, 90.00 degrees
Element x y z (fractional)
Ga  0.250  0.750  0.500
Na  0.616  0.616  0.767
Ga  0.750  0.250  0.500
Na  0.384  0.384  0.233
Mg  0.000  0.000  0.000

## Properties
* total magnetic moment: 0.00 μB/f.u.

On energetic grounds, two is preferred over the next structure by 71 meV per atom.

one:
Here is an optimized crystal structure of MgNb3Ga from the Alexandria database. Energies are from PBE-GGA.

Cell lengths 4.728, 4.728, 4.728 Å; angles 90.00, 90.00, 90.00 degrees
Element x y z (fractional)
Ga  0.500  0.500  0.500
Nb  0.000  0.000  0.500
Mg  0.000  0.000  0.000
Nb  0.500  0.000  0.000
Nb  0.000  0.500  0.000

## Properties
* total magnetic moment: 0.00 μB/f.u.

two:
Here is an optimized crystal structure of MgNb3Ga from the Alexandria database. Energies are from PBE-GGA.

Cell lengths 4.803, 4.803, 4.803 Å; angles 90.00, 90.00, 90.00 degrees
Element x y z (fractional)
Ga  0.000  0.000  0.000
Mg  0.500  0.500  0.500
Nb  0.000  0.000  0.500
Nb  0.000  0.500  0.000
Nb  0.500  0.000  0.000

## Properties
* total magnetic moment: 0.00 μB/f.u.

On energetic grounds, two is preferred over the next structure by 616 meV per atom.

one:
Here is an optimized crystal structure of NdMg2Ga from the Alexandria database. Energies are from PBE-GGA.

Cell lengths 4.871, 4.449, 4.449 Å; angles 90.00, 90.00, 90.00 degrees
Element x y z (fractional)
Mg  0.000  0.000  0.500
Nd  0.500  0.500  0.500
Ga  0.500  0.000  0.000
Mg  0.000  0.500  0.000

## Properties
* total magnetic moment: 0.00 μB/f.u.

two:
Here is an optimized crystal structure of NdMg2Ga from the Alexandria database. Energies are from PBE-GGA.

Cell lengths 3.233, 3.233, 11.260 Å; angles 81.75, 81.75, 60.00 degrees
Element x y z (fractional)
Nd  0.000  0.000  0.000
Mg  0.099  0.099  0.704
Ga  0.500  0.500  0.500
Mg  0.901  0.901  0.296

## Properties
* total magnetic moment: 0.00 μB/f.u.

three:
Here is an optimized crystal structure of NdMg2Ga from the Alexandria database. Energies are from PBE-GGA.

Cell lengths 4.634, 5.970, 7.478 Å; angles 90.00, 90.00, 112.81 degrees
Element x y z (fractional)
Mg  0.363  0.726  0.946
Mg  0.363  0.726  0.554
Mg  0.637  0.274  0.446
Ga  0.791  0.582  0.750
Nd  0.923  0.846  0.250
Ga  0.209  0.418  0.250
Mg  0.637  0.274  0.054
Nd  0.077  0.154  0.750

## Properties
* total magnetic moment: 0.00 μB/f.u.

On energetic grounds, three is preferred over the next structure by 29 meV per atom.

one:
Here is an optimized crystal structure of NdMg4Ga2 from the Alexandria database. Energies are from PBE-GGA.

Cell lengths 4.383, 4.417, 8.432 Å; angles 105.18, 90.00, 90.00 degrees
Element x y z (fractional)
Nd  0.000  0.000  0.000
Ga  0.500  0.576  0.151
Ga  0.500  0.424  0.849
Mg  0.000  0.679  0.359
Mg  0.500  0.177  0.354
Mg  0.000  0.321  0.641
Mg  0.500  0.823  0.646

## Properties
* total magnetic moment: 0.00 μB/f.u.

two:
Here is an optimized crystal structure of NdMg4Ga2 from the Alexandria database. Energies are from PBE-GGA.

Cell lengths 4.376, 8.480, 8.480 Å; angles 90.00, 90.00, 90.00 degrees
Element x y z (fractional)
Mg  0.500  0.164  0.595
Mg  0.000  0.664  0.905
Ga  0.000  0.200  0.800
Mg  0.000  0.095  0.336
Nd  0.500  0.000  0.000
Mg  0.000  0.336  0.095
Mg  0.000  0.905  0.664
Ga  0.500  0.700  0.700
Ga  0.000  0.800  0.200
Ga  0.500  0.300  0.300
Mg  0.500  0.836  0.405
Mg  0.500  0.405  0.836
Mg  0.500  0.595  0.164
Nd  0.000  0.500  0.500

## Properties
* total magnetic moment: 0.00 μB/f.u.

On energetic grounds, one is preferred over the next structure by 14 meV per atom.

one:
Here is an optimized crystal structure of Nd3Mg2Ga4 from the Alexandria database. Energies are from PBE-GGA.

Cell lengths 4.500, 5.825, 9.154 Å; angles 97.30, 90.00, 112.72 degrees
Element x y z (fractional)
Nd  0.000  0.000  0.000
Mg  0.320  0.639  0.225
Ga  0.073  0.146  0.642
Ga  0.297  0.594  0.923
Nd  0.629  0.259  0.389
Ga  0.703  0.406  0.077
Ga  0.927  0.854  0.358
Mg  0.680  0.361  0.775
Nd  0.371  0.741  0.611

## Properties
* total magnetic moment: 0.00 μB/f.u.

two:
Here is an optimized crystal structure of Nd3Mg2Ga4 from the Alexandria database. Energies are from PBE-GGA.

Cell lengths 4.557, 6.093, 9.049 Å; angles 69.09, 75.41, 68.04 degrees
Element x y z (fractional)
Nd  0.357  0.599  0.686
Nd  0.643  0.401  0.314
Ga  0.929  0.732  0.410
Mg  0.655  0.013  0.677
Ga  0.288  0.375  0.049
Ga  0.071  0.268  0.590
Mg  0.345  0.987  0.323
Nd  0.000  0.000  0.000
Ga  0.712  0.625  0.951

## Properties
* total magnetic moment: 0.00 μB/f.u.

On energetic grounds, two is preferred over the next structure by 55 meV per atom.

one:
Here is an optimized crystal structure of NdMg2Ga6 from the Alexandria database. Energies are from PBE-GGA.

Cell lengths 3.388, 7.851, 7.851 Å; angles 120.00, 90.00, 90.00 degrees
Element x y z (fractional)
Ga  0.500  0.339  0.339
Nd  0.000  0.000  0.000
Ga  0.500  0.000  0.339
Ga  0.500  0.661  0.000
Ga  0.500  0.339  0.000
Mg  0.000  0.333  0.667
Mg  0.000  0.667  0.333
Ga  0.500  0.661  0.661
Ga  0.500  0.000  0.661

## Properties
* total magnetic moment: 0.00 μB/f.u.

two:
Here is an optimized crystal structure of NdMg2Ga6 from the Alexandria database. Energies are from PBE-GGA.

Cell lengths 4.165, 7.194, 7.487 Å; angles 118.72, 106.15, 90.00 degrees
Element x y z (fractional)
Mg  0.117  0.117  0.234
Ga  0.500  0.178  0.000
Ga  0.308  0.119  0.616
Mg  0.883  0.883  0.766
Ga  0.500  0.822  0.000
Ga  0.692  0.503  0.384
Ga  0.308  0.497  0.616
Nd  0.000  0.500  0.000
Ga  0.692  0.881  0.384

## Properties
* total magnetic moment: 0.00 μB/f.u.

On energetic grounds, one is preferred over the next structure by 8 meV per atom.

one:
Here is an optimized crystal structure of Nd3MgGa from the Alexandria database. Energies are from PBE-GGA.

Cell lengths 6.805, 8.016, 10.978 Å; angles 74.83, 90.00, 90.00 degrees
Element x y z (fractional)
Nd  0.963  0.743  0.857
Nd  0.966  0.199  0.729
Nd  0.656  0.381  0.914
Nd  0.463  0.257  0.643
Nd  0.034  0.801  0.271
Nd  0.156  0.619  0.586
Mg  0.280  0.047  0.969
Nd  0.534  0.199  0.229
Nd  0.037  0.257  0.143
Nd  0.466  0.801  0.771
Mg  0.720  0.953  0.031
Nd  0.537  0.743  0.357
Nd  0.844  0.381  0.414
Mg  0.220  0.047  0.469
Mg  0.780  0.953  0.531
Ga  0.208  0.420  0.874
Ga  0.708  0.580  0.626
Ga  0.292  0.420  0.374
Ga  0.792  0.580  0.126
Nd  0.344  0.619  0.086

## Properties
* total magnetic moment: 0.00 μB/f.u.

two:
Here is an optimized crystal structure of Nd3MgGa from the Alexandria database. Energies are from PBE-GGA.

Cell lengths 5.333, 5.325, 10.492 Å; angles 90.00, 75.28, 90.00 degrees
Element x y z (fractional)
Nd  0.389  0.250  0.869
Nd  0.074  0.750  0.500
Nd  0.889  0.750  0.871
Ga  0.483  0.750  0.682
Ga  0.165  0.250  0.318
Nd  0.259  0.750  0.131
Nd  0.760  0.250  0.129
Nd  0.574  0.250  0.500
Mg  0.981  0.250  0.686
Mg  0.667  0.750  0.314

## Properties
* total magnetic moment: 0.03 μB/f.u.

On energetic grounds, two is preferred over the next structure by 28 meV per atom.

one:
Here is an optimized crystal structure of NdMgGa4 from the Alexandria database. Energies are from PBE-GGA.

Cell lengths 5.575, 5.575, 5.575 Å; angles 60.00, 60.00, 60.00 degrees
Element x y z (fractional)
Nd  0.000  0.000  0.000
Ga  0.625  0.625  0.124
Ga  0.124  0.625  0.625
Ga  0.625  0.124  0.625
Ga  0.625  0.625  0.625
Mg  0.250  0.250  0.250

## Properties
* total magnetic moment: 0.00 μB/f.u.

two:
Here is an optimized crystal structure of NdMgGa4 from the Alexandria database. Energies are from PBE-GGA.

Cell lengths 4.358, 5.775, 5.775 Å; angles 90.46, 67.83, 67.83 degrees
Element x y z (fractional)
Ga  0.793  0.544  0.870
Ga  0.207  0.130  0.456
Ga  0.207  0.456  0.130
Ga  0.793  0.870  0.544
Mg  0.500  0.500  0.500
Nd  0.000  0.000  0.000

## Properties
* total magnetic moment: 0.00 μB/f.u.

On energetic grounds, two is preferred over the next structure by 114 meV per atom.